Entry 1:
K6GaI8 (PBE, optimized geometry); space-group type = P-31m, No. 162; total energy = -2.65 eV/atom; V = 46.021 Å³ per atom; uncorrected formation energy = -1.18 eV/atom; size of the total moment = 0.00 μB/cell
1.0
10.2351 0.0000 0.0000
-5.1175 8.8638 0.0000
0.0000 0.0000 7.6091
K Ga I
6 1 8
Direct
0.0000 0.3781 0.2191
0.0000 0.6219 0.7809
0.3781 0.0000 0.2191
0.3781 0.3781 0.7809
0.6219 0.0000 0.7809
0.6219 0.6219 0.2191
0.0000 0.0000 0.5000
0.0000 0.2592 0.7107
0.0000 0.7408 0.2893
0.2592 0.0000 0.7107
0.2592 0.2592 0.2893
0.3333 0.6667 0.0000
0.6667 0.3333 0.0000
0.7408 0.0000 0.2893
0.7408 0.7408 0.7107

=====

Entry 2:
SrGaI (PBE, optimized geometry); space-group type = C2/m, No. 12; total energy = -3.14 eV/atom; V = 37.397 Å³ per atom; uncorrected formation energy = -1.05 eV/atom; size of the total moment = 0.00 μB/cell
1.0
7.7597 0.0000 0.0000
0.0000 4.4806 0.0000
-2.6150 0.0000 12.9075
Sr Ga I
4 4 4
Direct
0.0623 0.0000 0.1843
0.4377 0.5000 0.8157
0.5623 0.5000 0.1843
0.9377 0.0000 0.8157
0.1656 0.5000 0.9969
0.3344 0.0000 0.0031
0.6656 0.0000 0.9969
0.8344 0.5000 0.0031
0.2192 0.0000 0.6615
0.2808 0.5000 0.3385
0.7192 0.5000 0.6615
0.7808 0.0000 0.3385